Material: Pm2VH2O6
Method: DFT, GGA+U
State: optimized geometry

The total DFT energy (no corrections) is -6.904 eV/atom.

Cell and atoms, written as CIF:
```
data_Pm2VH2O6
_cell_length_a 5.1025
_cell_length_b 5.1025
_cell_length_c 14.4229
_cell_angle_alpha 90.00
_cell_angle_beta 90.00
_cell_angle_gamma 120.00
_space_group_name_H-M_alt 'R -3 m'
_space_group_IT_number 166
_space_group_name_Hall '-R 3 2"'
loop_
_atom_site_label
_atom_site_type_symbol
_atom_site_fract_x
_atom_site_fract_y
_atom_site_fract_z
_atom_site_occupancy
Pm1 Pm 0.0000 0.0000 0.2295 1
V1 V 0.0000 0.0000 0.0000 1
H1 H 0.0000 0.0000 0.4208 1
O1 O 0.0086 0.5043 0.2496 1
```